Record 1
Cu5Ag3: optimized geometry, PBE.

Results
The value obtained for the energy above the lowest structure with this stoichiometry is 57 meV per atom. The energy is -26.23 eV per cell. For the energy of formation from the pure elements, the calculation gives 103.9 meV/atom.

Cell lengths 6.6515, 6.0526, 4.7252 Å; angles 75.09, 61.56, 43.35 degrees
Closest atoms and distances in Å follow each position.
Atoms (fractional coordinates):
Cu  0.0000  0.0000  0.0000  6 Cu 2.64-2.78, 6 Ag 2.71
Cu  0.1352  0.1352  0.3648  7 Cu 2.49-2.78, 4 Ag 2.72-2.78
Cu  0.2441  0.2441  0.7559  7 Cu 2.64-2.72, 5 Ag 2.70-2.77
Cu  0.3648  0.3648  0.1352  7 Cu 2.49-2.78, 4 Ag 2.72-2.78
Cu  0.7559  0.7559  0.2441  7 Cu 2.64-2.72, 5 Ag 2.70-2.77
Ag  0.5000  0.5000  0.5000  8 Cu 2.71-2.78, 4 Ag 2.71
Ag  0.6234  0.6234  0.8766  9 Cu 2.70-2.80, 3 Ag 2.71-2.74
Ag  0.8766  0.8766  0.6234  9 Cu 2.70-2.80, 3 Ag 2.71-2.74

***

Record 2
CuAg: optimized geometry, PBE.

Results
The energy is -31.82 eV per cell. For the energy of formation from the pure elements, the calculation gives 88.4 meV/atom.

Cell lengths 4.6267, 2.8173, 11.4534 Å; angles 90.00, 91.13, 90.00 degrees
Closest atoms and distances in Å follow each position.
Atoms (fractional coordinates):
Cu  0.0000  0.0000  0.0000  6 Cu 2.63-2.82, 6 Ag 2.71-2.89
Cu  0.1484  0.5000  0.1854  6 Cu 2.54-2.82, 5 Ag 2.68-2.76
Cu  0.2322  0.0000  0.3680  4 Cu 2.54-2.82, 7 Ag 2.72-2.82
Cu  0.7678  0.0000  0.6320  4 Cu 2.54-2.82, 7 Ag 2.72-2.82
Cu  0.8516  0.5000  0.8146  6 Cu 2.54-2.82, 5 Ag 2.68-2.76
Ag  0.2555  0.5000  0.5749  6 Cu 2.75-2.82, 6 Ag 2.82-2.89
Ag  0.3402  0.0000  0.7914  6 Cu 2.68-2.89, 6 Ag 2.82-2.87
Ag  0.5000  0.5000  0.0000  6 Cu 2.70-2.71, 6 Ag 2.82-2.86
Ag  0.6599  0.0000  0.2086  6 Cu 2.68-2.89, 6 Ag 2.82-2.87
Ag  0.7445  0.5000  0.4251  6 Cu 2.75-2.82, 6 Ag 2.82-2.89

***

Record 3
CuAg2: optimized geometry, PBE.

Results
The value obtained for the energy above the lowest structure with this stoichiometry is 381 meV per atom. The energy is -16.26 eV per cell. For the energy of formation from the pure elements, the calculation gives 412.0 meV/atom.

Cell lengths 5.3642, 5.3642, 5.3642 Å; angles 60.00, 60.00, 60.00 degrees
Closest atoms and distances in Å follow each position.
Atoms (fractional coordinates):
Cu  0.1250  0.1250  0.1250  12 Ag 3.15, 4 Cu 3.28
Cu  0.8750  0.8750  0.8750  12 Ag 3.15, 4 Cu 3.28
Ag  0.0000  0.5000  0.5000  6 Ag 2.68
Ag  0.5000  0.0000  0.5000  6 Ag 2.68
Ag  0.5000  0.5000  0.0000  6 Ag 2.68
Ag  0.5000  0.5000  0.5000  6 Ag 2.68

***

Record 4
Cu3Ag2: optimized geometry, PBE.

Results
The value obtained for the energy above the lowest structure with this stoichiometry is 72 meV per atom. The energy is -32.46 eV per cell. For the energy of formation from the pure elements, the calculation gives 114.1 meV/atom.

Cell lengths 4.7313, 2.7621, 11.0969 Å; angles 90.00, 98.05, 90.00 degrees
Closest atoms and distances in Å follow each position.
Atoms (fractional coordinates):
Cu  0.0493  0.2500  0.3987  7 Cu 2.60-2.76, 5 Ag 2.70-2.78
Cu  0.1368  0.7500  0.2094  8 Cu 2.60-2.87, 4 Ag 2.65-2.80
Cu  0.3337  0.7500  0.7995  7 Cu 2.61-2.87, 5 Ag 2.67-2.75
Cu  0.6663  0.2500  0.2005  7 Cu 2.61-2.87, 5 Ag 2.67-2.75
Cu  0.8632  0.2500  0.7906  8 Cu 2.60-2.87, 4 Ag 2.65-2.80
Cu  0.9507  0.7500  0.6013  7 Cu 2.60-2.76, 5 Ag 2.70-2.78
Ag  0.2510  0.2500  0.0057  6 Cu 2.71-2.80, 6 Ag 2.73-2.76
Ag  0.4431  0.2500  0.6054  8 Cu 2.65-2.78, 4 Ag 2.76-2.83
Ag  0.5569  0.7500  0.3946  8 Cu 2.65-2.78, 4 Ag 2.76-2.83
Ag  0.7490  0.7500  0.9943  6 Cu 2.71-2.80, 6 Ag 2.73-2.76

***

Record 5
Cu9Ag11: optimized geometry, PBE.

Results
The value obtained for the energy above the lowest structure with this stoichiometry is 0 meV per atom. The energy is -62.77 eV per cell. For the energy of formation from the pure elements, the calculation gives 87.5 meV/atom.

Cell lengths 9.6142, 9.6142, 11.5528 Å; angles 98.81, 98.81, 16.83 degrees
Closest atoms and distances in Å follow each position.
Atoms (fractional coordinates):
Cu  0.0000  0.0000  0.0000  6 Cu 2.58-2.81, 5 Ag 2.73-2.75
Cu  0.0003  0.0003  0.2594  9 Ag 2.69-2.83, 3 Cu 2.81-3.00
Cu  0.1970  0.1970  0.0613  7 Cu 2.62-2.81, 5 Ag 2.71-2.86
Cu  0.2061  0.2061  0.2973  7 Cu 2.53-2.81, 4 Ag 2.77-2.82
Cu  0.4059  0.4059  0.8689  4 Cu 2.58-2.81, 7 Ag 2.74-2.87
Cu  0.5970  0.5970  0.9246  6 Cu 2.58-2.81, 5 Ag 2.65-2.75
Cu  0.5991  0.5991  0.6507  9 Ag 2.68-2.96, 2 Cu 2.81
Cu  0.7909  0.7909  0.1999  7 Cu 2.53-2.81, 3 Ag 2.73-2.75
Cu  0.7920  0.7920  0.4397  5 Cu 2.55-2.81, 6 Ag 2.72-2.81
Ag  0.0021  0.0021  0.5048  3 Cu 2.69-2.83, 9 Ag 2.81-2.97
Ag  0.0041  0.0041  0.7628  7 Cu 2.75-2.77, 5 Ag 2.81-2.98
Ag  0.1855  0.1855  0.8118  5 Cu 2.68-2.86, 7 Ag 2.81-2.99
Ag  0.2041  0.2041  0.5597  5 Cu 2.72-3.04, 7 Ag 2.81-2.99
Ag  0.3924  0.3924  0.3470  6 Cu 2.72-2.80, 6 Ag 2.80-2.91
Ag  0.3925  0.3925  0.5979  9 Ag 2.80-2.98, 3 Cu 2.81-3.10
Ag  0.4062  0.4062  0.1090  7 Cu 2.69-2.93, 5 Ag 2.80-2.83
Ag  0.5973  0.5973  0.1540  9 Cu 2.65-2.82, 3 Ag 2.78-2.81
Ag  0.6053  0.6053  0.3966  5 Cu 2.74-2.96, 7 Ag 2.78-2.85
Ag  0.7966  0.7966  0.9655  5 Cu 2.73-2.87, 7 Ag 2.78-2.90
Ag  0.8032  0.8032  0.7265  2 Cu 2.74, 9 Ag 2.78-2.94

***

Record 6
CuAg: optimized geometry, PBE.

Results
The energy is -19.06 eV per cell. For the energy of formation from the pure elements, the calculation gives 93.9 meV/atom.

Cell lengths 4.8243, 4.8243, 5.6219 Å; angles 108.71, 108.71, 47.57 degrees
Closest atoms and distances in Å follow each position.
Atoms (fractional coordinates):
Cu  0.0000  0.0000  0.0000  6 Ag 2.67-2.81, 6 Cu 2.68-2.80
Cu  0.3237  0.3237  0.1514  5 Cu 2.61-2.80, 6 Ag 2.66-2.81
Cu  0.6763  0.6763  0.8486  5 Cu 2.61-2.80, 6 Ag 2.66-2.81
Ag  0.0000  0.0000  0.5000  6 Cu 2.81, 6 Ag 2.82
Ag  0.3405  0.3405  0.6880  7 Cu 2.66-2.97, 5 Ag 2.82-2.91
Ag  0.6595  0.6595  0.3120  7 Cu 2.66-2.97, 5 Ag 2.82-2.91

***

Record 7
Cu3Ag7: optimized geometry, PBE.

Results
The value obtained for the energy above the lowest structure with this stoichiometry is 49 meV per atom. The energy is -30.14 eV per cell. For the energy of formation from the pure elements, the calculation gives 78.1 meV/atom.

Cell lengths 22.6106, 22.6106, 22.6106 Å; angles 7.30, 7.30, 7.30 degrees
Closest atoms and distances in Å follow each position.
Atoms (fractional coordinates):
Cu  0.0000  0.0000  0.0000  6 Ag 2.72, 6 Cu 2.88
Cu  0.0995  0.0995  0.0995  6 Ag 2.70-2.71, 6 Cu 2.88
Cu  0.9005  0.9005  0.9005  6 Ag 2.70-2.71, 6 Cu 2.88
Ag  0.2024  0.2024  0.2024  3 Cu 2.70, 9 Ag 2.88-2.93
Ag  0.3016  0.3016  0.3016  3 Cu 2.72, 9 Ag 2.88-2.95
Ag  0.4012  0.4012  0.4012  3 Cu 2.71, 9 Ag 2.88-2.95
Ag  0.5000  0.5000  0.5000  12 Ag 2.88-2.93
Ag  0.5988  0.5988  0.5988  3 Cu 2.71, 9 Ag 2.88-2.95
Ag  0.6984  0.6984  0.6984  3 Cu 2.72, 9 Ag 2.88-2.95
Ag  0.7976  0.7976  0.7976  3 Cu 2.70, 9 Ag 2.88-2.93

***

Record 8
CuAg: optimized geometry, PBE.

Results
The energy is -50.75 eV per cell. For the energy of formation from the pure elements, the calculation gives 98.9 meV/atom.

Cell lengths 2.7933, 2.7933, 35.8117 Å; angles 90.00, 90.00, 120.00 degrees
Closest atoms and distances in Å follow each position.
Atoms (fractional coordinates):
Cu  0.0000  0.0000  0.0000  9 Cu 2.52-2.79, 3 Ag 2.74
Cu  0.0000  0.0000  0.1635  12 Cu 2.54-2.79
Cu  0.0000  0.0000  0.3277  12 Cu 2.52-2.79
Cu  0.3333  0.6667  0.0541  12 Cu 2.52-2.79
Cu  0.3333  0.6667  0.2183  12 Cu 2.54-2.79
Cu  0.3333  0.6667  0.3817  9 Cu 2.52-2.79, 1 Ag 2.60
Cu  0.6667  0.3333  0.1087  12 Cu 2.53-2.79
Cu  0.6667  0.3333  0.2730  12 Cu 2.54-2.79
Ag  0.0000  0.0000  0.5929  12 Ag 2.79-2.96
Ag  0.0000  0.0000  0.7997  12 Ag 2.79-2.95
Ag  0.3333  0.6667  0.4542  1 Cu 2.60, 6 Ag 2.79
Ag  0.3333  0.6667  0.6619  12 Ag 2.79-2.95
Ag  0.3333  0.6667  0.8688  12 Ag 2.79-2.96
Ag  0.6667  0.3333  0.5238  12 Ag 2.79-2.97
Ag  0.6667  0.3333  0.7308  12 Ag 2.79-2.95
Ag  0.6667  0.3333  0.9381  3 Cu 2.74, 9 Ag 2.79-2.96

***

Record 9
Cu4Ag5: optimized geometry, PBE.

Results
The value obtained for the energy above the lowest structure with this stoichiometry is 59 meV per atom. The energy is -28.12 eV per cell. For the energy of formation from the pure elements, the calculation gives 96.9 meV/atom.

Cell lengths 7.2499, 7.2499, 7.2499 Å; angles 157.39, 76.35, 108.24 degrees
Closest atoms and distances in Å follow each position.
Atoms (fractional coordinates):
Cu  0.0000  0.0000  0.0000  5 Ag 2.65-2.73, 7 Cu 2.67-2.89
Cu  0.0111  0.3484  0.6626  4 Cu 2.67-2.84, 8 Ag 2.70-2.94
Cu  0.3403  0.3403  0.0000  9 Ag 2.71-2.96, 3 Cu 2.84-2.89
Cu  0.6858  0.3484  0.3374  4 Cu 2.67-2.84, 8 Ag 2.70-2.94
Ag  0.0138  0.6731  0.3407  7 Cu 2.71-2.89, 5 Ag 2.80-2.84
Ag  0.3323  0.6731  0.6593  7 Cu 2.71-2.89, 5 Ag 2.80-2.84
Ag  0.3366  0.0028  0.3338  5 Cu 2.74-2.94, 7 Ag 2.80-2.84
Ag  0.6690  0.0028  0.6662  5 Cu 2.74-2.94, 7 Ag 2.80-2.84
Ag  0.6880  0.6880  0.0000  6 Cu 2.65-2.96, 6 Ag 2.84

***

Record 10
CuAg: optimized geometry, PBE.

Results
The energy is -31.90 eV per cell. For the energy of formation from the pure elements, the calculation gives 81.0 meV/atom.

Cell lengths 6.8475, 2.8271, 7.8024 Å; angles 90.00, 99.80, 90.00 degrees
Closest atoms and distances in Å follow each position.
Atoms (fractional coordinates):
Cu  0.0000  0.0000  0.0000  6 Cu 2.56-2.83, 4 Ag 2.77
Cu  0.2050  0.0000  0.6099  4 Cu 2.53-2.83, 6 Ag 2.71-2.73
Cu  0.2592  0.5000  0.8826  6 Cu 2.53-2.83, 5 Ag 2.67-2.73
Cu  0.7408  0.5000  0.1174  6 Cu 2.53-2.83, 5 Ag 2.67-2.73
Cu  0.7950  0.0000  0.3901  4 Cu 2.53-2.83, 6 Ag 2.71-2.73
Ag  0.1033  0.5000  0.3081  7 Cu 2.67-2.77, 5 Ag 2.83-2.92
Ag  0.4146  0.0000  0.1672  6 Cu 2.69-2.92, 6 Ag 2.83-2.93
Ag  0.5000  0.5000  0.5000  4 Cu 2.72, 8 Ag 2.83-2.93
Ag  0.5854  0.0000  0.8328  6 Cu 2.69-2.92, 6 Ag 2.83-2.93
Ag  0.8967  0.5000  0.6919  7 Cu 2.67-2.77, 5 Ag 2.83-2.92